Entry from Alexandria: SrTeAu3 after structural relaxation (PBEsol).

Structure (CIF):
```
data_SrTeAu3
_chemical_formula_sum 'Sr1 Te1 Au3'
_symmetry_space_group_name_H-M 'P m -3 m'
_symmetry_Int_Tables_number 221
_symmetry_space_group_name_Hall '-P 4 2 3'
_cell_length_a 5.4183
_cell_length_b 5.4183
_cell_length_c 5.4183
_cell_angle_alpha 90.00
_cell_angle_beta 90.00
_cell_angle_gamma 90.00
loop_
_atom_site_label
_atom_site_fract_x
_atom_site_fract_y
_atom_site_fract_z
Sr1 0.0000 0.0000 0.0000
Te1 0.5000 0.5000 0.5000
Au1 0.0000 0.0000 0.5000
```

- formation energy from raw total energies (eV per atom) = 0.9200

Entry from Alexandria: Pd3WAu after structural relaxation (PBEsol).

Structure (CIF):
```
data_Pd3WAu
_chemical_formula_sum 'Pd3 W1 Au1'
_symmetry_space_group_name_H-M 'P m -3 m'
_symmetry_Int_Tables_number 221
_symmetry_space_group_name_Hall '-P 4 2 3'
_cell_length_a 4.7058
_cell_length_b 4.7058
_cell_length_c 4.7058
_cell_angle_alpha 90.00
_cell_angle_beta 90.00
_cell_angle_gamma 90.00
loop_
_atom_site_label
_atom_site_fract_x
_atom_site_fract_y
_atom_site_fract_z
Pd1 0.0000 0.0000 0.5000
W1 0.0000 0.0000 0.0000
Au1 0.5000 0.5000 0.5000
```

- energy relative to the elements (eV per formula unit) = 6.7

Entry from Alexandria: K2BaMgTe after structural relaxation (PBEsol).

Structure (CIF):
```
data_K2BaMgTe
_chemical_formula_sum 'K2 Ba1 Mg1 Te1'
_symmetry_space_group_name_H-M 'P 4/m m m'
_symmetry_Int_Tables_number 123
_symmetry_space_group_name_Hall '-P 4 2'
_cell_length_a 7.0428
_cell_length_b 7.0428
_cell_length_c 6.3146
_cell_angle_alpha 90.00
_cell_angle_beta 90.00
_cell_angle_gamma 90.00
loop_
_atom_site_label
_atom_site_fract_x
_atom_site_fract_y
_atom_site_fract_z
K1 0.0000 0.5000 0.0000
Ba1 0.0000 0.0000 0.0000
Mg1 0.0000 0.0000 0.5000
Te1 0.5000 0.5000 0.5000
```

- formation energy from raw total energies (eV per atom) = 0.6569

Entry from Alexandria: La2TcCl after structural relaxation (PBEsol).

Structure (CIF):
```
data_La2TcCl
_chemical_formula_sum 'La2 Tc1 Cl1'
_symmetry_space_group_name_H-M 'P 1 2/m 1'
_symmetry_Int_Tables_number 10
_cell_length_a 3.4189
_cell_length_b 3.4298
_cell_length_c 8.0320
_cell_angle_alpha 90.00
_cell_angle_beta 93.61
_cell_angle_gamma 90.00
loop_
_symmetry_equiv_pos_as_xyz
'x,y,z'
'-x,-y,-z'
'-x,y,-z'
'x,-y,z'
loop_
_atom_site_label
_atom_site_fract_x
_atom_site_fract_y
_atom_site_fract_z
La1 0.0625 0.0000 0.2788
Tc1 0.5000 0.5000 0.5000
Cl1 0.5000 0.5000 0.0000
```

- relative energy among the computed polymorphs (eV/atom) = 0.019
- formation energy from raw total energies (eV per atom) = -0.7219

Entry from Alexandria: YSc3 after structural relaxation (PBEsol).

Structure (CIF):
```
data_YSc3
_chemical_formula_sum 'Y3 Sc9'
_symmetry_space_group_name_H-M 'R -3 m'
_symmetry_Int_Tables_number 166
_symmetry_space_group_name_Hall '-R 3 2"'
_cell_length_a 10.4956
_cell_length_b 10.4956
_cell_length_c 3.2070
_cell_angle_alpha 90.00
_cell_angle_beta 90.00
_cell_angle_gamma 120.00
loop_
_atom_site_label
_atom_site_fract_x
_atom_site_fract_y
_atom_site_fract_z
Y1 0.0000 0.0000 0.0000
Sc1 0.0000 0.5000 0.0000
```

- relative energy among the computed polymorphs (eV/atom) = 0.130
- energy relative to the elements (eV per formula unit) = 0.6

Entry from Alexandria: RbMoRhC2 after structural relaxation (PBEsol).

Structure (CIF):
```
data_RbMoRhC2
_chemical_formula_sum 'Rb1 Mo1 Rh1 C2'
_symmetry_space_group_name_H-M 'P 4/m m m'
_symmetry_Int_Tables_number 123
_symmetry_space_group_name_Hall '-P 4 2'
_cell_length_a 4.0094
_cell_length_b 4.0094
_cell_length_c 5.7959
_cell_angle_alpha 90.00
_cell_angle_beta 90.00
_cell_angle_gamma 90.00
loop_
_atom_site_label
_atom_site_fract_x
_atom_site_fract_y
_atom_site_fract_z
Rb1 0.0000 0.0000 0.0000
Mo1 0.0000 0.0000 0.5000
Rh1 0.5000 0.5000 0.0000
C1 0.0000 0.5000 0.5000
```

- energy relative to the elements (eV per formula unit) = 11.8

Entry from Alexandria: LiBiSeN2 after structural relaxation (PBEsol).

Structure (CIF):
```
data_LiBiSeN2
_chemical_formula_sum 'Li1 Bi1 Se1 N2'
_symmetry_space_group_name_H-M 'P 4/m m m'
_symmetry_Int_Tables_number 123
_symmetry_space_group_name_Hall '-P 4 2'
_cell_length_a 4.1174
_cell_length_b 4.1174
_cell_length_c 4.6016
_cell_angle_alpha 90.00
_cell_angle_beta 90.00
_cell_angle_gamma 90.00
loop_
_atom_site_label
_atom_site_fract_x
_atom_site_fract_y
_atom_site_fract_z
Li1 0.0000 0.0000 0.0000
Bi1 0.5000 0.5000 0.5000
Se1 0.0000 0.0000 0.5000
N1 0.0000 0.5000 0.0000
```

- formation energy from raw total energies (eV per atom) = 1.2568

Entry from Alexandria: Ti2Ga2Ni after structural relaxation (PBEsol).

Structure (CIF):
```
data_Ti2Ga2Ni
_chemical_formula_sum 'Ti4 Ga4 Ni2'
_symmetry_space_group_name_H-M 'P 4/m b m'
_symmetry_Int_Tables_number 127
_symmetry_space_group_name_Hall '-P 4 2ab'
_cell_length_a 6.1266
_cell_length_b 6.1266
_cell_length_c 3.8995
_cell_angle_alpha 90.00
_cell_angle_beta 90.00
_cell_angle_gamma 90.00
loop_
_atom_site_label
_atom_site_fract_x
_atom_site_fract_y
_atom_site_fract_z
Ti1 0.1670 0.3330 0.0000
Ga1 0.1419 0.6419 0.5000
Ni1 0.0000 0.0000 0.5000
```

- energy relative to the elements (eV per formula unit) = -2.3

Number 1: total energy -12.54 eV for the cell shown. Number 2: total energy -28.87 eV for the cell shown. Number 3: total energy -6.37 eV for the cell shown. Number 4: total energy -26.85 eV for the cell shown. Number 5: total energy -78.12 eV for the cell shown. Number 6: total energy -28.45 eV for the cell shown. Number 7: total energy -20.87 eV for the cell shown. Number 8: total energy -63.60 eV for the cell shown.